Record 1
DFT (SCAN) results for a crystal of RbZr2IrPt relaxed with PBEsol.

Calculated values
E_form (eV/atom): 2.356
Symmetry: P4/mmm, No. 123

a b c (Å): 4.809 4.809 4.682
angles (deg): 90.00 90.00 90.00
Atoms (fractional coordinates):
Rb1 0.000 0.000 0.000
Zr1 0.000 0.500 0.000
Zr2 0.500 0.000 0.000
Ir1 0.500 0.500 0.500
Pt1 0.000 0.000 0.500

=====

Record 2
DFT (SCAN) results for a crystal of ReIrPt2 relaxed with PBEsol.

Calculated values
E_form (eV/atom): -0.107
Symmetry: R3m, No. 160

a b c (Å): 9.176 9.176 9.176
angles (deg): 17.14 17.14 17.14
Atoms (fractional coordinates):
Re1 0.000 0.000 0.000
Ir1 0.745 0.745 0.745
Pt1 0.251 0.251 0.251
Pt2 0.497 0.497 0.497

=====

Record 3
DFT (SCAN) results for a crystal of ReIrPt2 relaxed with PBEsol.

Calculated values
E_form (eV/atom): -0.058
Symmetry: I-4m2, No. 119

a b c (Å): 4.762 4.762 4.762
angles (deg): 132.27 132.27 69.81
Atoms (fractional coordinates):
Re1 0.000 0.000 0.000
Ir1 0.750 0.250 0.500
Pt1 0.250 0.750 0.500
Pt2 0.500 0.500 0.000

=====

Record 4
DFT (SCAN) results for a crystal of Re2IrPt relaxed with PBEsol.

Calculated values
E_form (eV/atom): 0.341
Symmetry: F-43m, No. 216

a b c (Å): 4.372 4.372 4.372
angles (deg): 60.00 60.00 60.00
Atoms (fractional coordinates):
Re1 0.000 0.000 0.000
Re2 0.250 0.250 0.250
Ir1 0.500 0.500 0.500
Pt1 0.750 0.750 0.750

=====

Record 5
DFT (SCAN) results for a crystal of ReIrPt relaxed with PBEsol.

Calculated values
E_form (eV/atom): -0.179
Symmetry: I4mm, No. 107

a b c (Å): 6.158 6.158 6.158
angles (deg): 154.40 154.40 36.52
Atoms (fractional coordinates):
Re1 0.000 0.000 0.000
Ir1 0.653 0.653 0.000
Pt1 0.333 0.333 0.000

=====

Record 6
DFT (SCAN) results for a crystal of ReIrPt2 relaxed with PBEsol.

Calculated values
E_form (eV/atom): -0.123
Symmetry: Pmm2, No. 25

a b c (Å): 2.734 3.872 5.504
angles (deg): 90.00 90.00 90.00
Atoms (fractional coordinates):
Re1 0.000 0.000 0.000
Ir1 0.500 0.500 0.227
Pt1 0.000 0.000 0.489
Pt2 0.500 0.500 0.746

=====

Record 7
DFT (SCAN) results for a crystal of Re2IrPt relaxed with PBEsol.

Calculated values
E_form (eV/atom): -0.102
Symmetry: Cmmm, No. 65

a b c (Å): 4.784 4.784 2.702
angles (deg): 90.00 90.00 111.47
Atoms (fractional coordinates):
Re1 0.000 0.500 0.000
Re2 0.500 0.000 0.000
Ir1 0.000 0.000 0.500
Pt1 0.500 0.500 0.500

=====

Record 8
DFT (SCAN) results for a crystal of ReIrPt relaxed with PBEsol.

Calculated values
E_form (eV/atom): -0.184
Symmetry: Imm2, No. 44

a b c (Å): 4.733 4.733 4.733
angles (deg): 146.51 131.85 59.92
Atoms (fractional coordinates):
Re1 0.000 0.000 0.000
Ir1 0.655 0.655 0.000
Pt1 0.329 0.329 0.000

=====

Record 9
DFT (SCAN) results for a crystal of ReIrPt2 relaxed with PBEsol.

Calculated values
E_form (eV/atom): -0.158
Symmetry: P4mm, No. 99

a b c (Å): 2.730 2.730 7.853
angles (deg): 90.00 90.00 90.00
Atoms (fractional coordinates):
Re1 0.000 0.000 0.000
Ir1 0.500 0.500 0.231
Pt1 0.000 0.000 0.489
Pt2 0.500 0.500 0.754

=====

Record 10
DFT (SCAN) results for a crystal of Re2IrPt relaxed with PBEsol.

Calculated values
E_form (eV/atom): -0.223
Symmetry: Pmm2, No. 25

a b c (Å): 2.725 4.391 4.818
angles (deg): 90.00 90.00 90.00
Atoms (fractional coordinates):
Re1 0.000 0.000 0.000
Re2 0.000 0.500 0.321
Ir1 0.500 0.500 0.829
Pt1 0.500 0.000 0.500

=====

Record 11
DFT (SCAN) results for a crystal of ReIrPt2 relaxed with PBEsol.

Calculated values
E_form (eV/atom): -0.072
Symmetry: Cm, No. 8

a b c (Å): 4.767 4.767 4.748
angles (deg): 99.26 99.26 33.13
Atoms (fractional coordinates):
Re1 0.000 0.000 0.000
Ir1 0.744 0.744 0.230
Pt1 0.250 0.250 0.745
Pt2 0.496 0.496 0.492

=====

Record 12
DFT (SCAN) results for a crystal of Re2IrPt relaxed with PBEsol.

Calculated values
E_form (eV/atom): -0.119
Symmetry: Cm, No. 8

a b c (Å): 4.744 4.744 4.780
angles (deg): 98.82 98.82 32.96
Atoms (fractional coordinates):
Re1 0.000 0.000 0.000
Re2 0.748 0.748 0.257
Ir1 0.258 0.258 0.772
Pt1 0.498 0.498 0.501

=====

Record 13
DFT (SCAN) results for a crystal of IrPt2Rh relaxed with PBEsol.

Calculated values
E_form (eV/atom): 0.049
Symmetry: P2/m, No. 10

a b c (Å): 4.708 2.732 4.735
angles (deg): 90.00 109.53 90.00
Atoms (fractional coordinates):
Ir1 0.000 0.000 0.000
Pt1 0.500 0.000 0.500
Pt2 0.500 0.500 0.000
Rh1 0.000 0.500 0.500

=====

Record 14
DFT (SCAN) results for a crystal of Ir2PtRh relaxed with PBEsol.

Calculated values
E_form (eV/atom): 0.224
Symmetry: Cmmm, No. 65

a b c (Å): 2.684 2.684 9.357
angles (deg): 90.00 90.00 120.77
Atoms (fractional coordinates):
Ir1 0.000 0.000 0.245
Ir2 0.000 0.000 0.755
Pt1 0.500 0.500 0.500
Rh1 0.500 0.500 0.000

=====

Record 15
DFT (SCAN) results for a crystal of IrPt2Rh relaxed with PBEsol.

Calculated values
E_form (eV/atom): 0.021
Symmetry: Cm, No. 8

a b c (Å): 4.718 4.718 4.723
angles (deg): 99.62 99.62 33.69
Atoms (fractional coordinates):
Ir1 0.000 0.000 0.000
Pt1 0.250 0.250 0.749
Pt2 0.496 0.496 0.493
Rh1 0.743 0.743 0.238

=====

Record 16
DFT (SCAN) results for a crystal of IrPtRh2 relaxed with PBEsol.

Calculated values
E_form (eV/atom): 0.001
Symmetry: Pmm2, No. 25

a b c (Å): 2.705 3.823 5.404
angles (deg): 90.00 90.00 90.00
Atoms (fractional coordinates):
Ir1 0.000 0.000 0.000
Pt1 0.500 0.500 0.257
Rh1 0.000 0.000 0.510
Rh2 0.500 0.500 0.759

=====

Record 17
DFT (SCAN) results for a crystal of Ir2PtRh relaxed with PBEsol.

Calculated values
E_form (eV/atom): 0.007
Symmetry: I-4m2, No. 119

a b c (Å): 4.700 4.700 4.700
angles (deg): 131.90 131.90 70.39
Atoms (fractional coordinates):
Ir1 0.000 0.000 0.000
Ir2 0.750 0.250 0.500
Pt1 0.500 0.500 0.000
Rh1 0.250 0.750 0.500

=====

Record 18
DFT (SCAN) results for a crystal of Ir2PtRh relaxed with PBEsol.

Calculated values
E_form (eV/atom): 0.056
Symmetry: Pmmm, No. 47

a b c (Å): 2.715 3.836 5.425
angles (deg): 90.00 90.00 90.00
Atoms (fractional coordinates):
Ir1 0.000 0.000 0.245
Ir2 0.000 0.000 0.755
Pt1 0.500 0.500 0.500
Rh1 0.500 0.500 0.000

=====

Record 19
DFT (SCAN) results for a crystal of IrPtRh2 relaxed with PBEsol.

Calculated values
E_form (eV/atom): -0.041
Symmetry: Pmmm, No. 47

a b c (Å): 2.704 3.816 5.411
angles (deg): 90.00 90.00 90.00
Atoms (fractional coordinates):
Ir1 0.000 0.000 0.000
Pt1 0.000 0.000 0.500
Rh1 0.500 0.500 0.243
Rh2 0.500 0.500 0.757

=====

Record 20
DFT (SCAN) results for a crystal of Ir2PtRh relaxed with PBEsol.

Calculated values
E_form (eV/atom): -0.008
Symmetry: P4mm, No. 99

a b c (Å): 2.710 2.710 7.705
angles (deg): 90.00 90.00 90.00
Atoms (fractional coordinates):
Ir1 0.000 0.000 0.000
Ir2 0.500 0.500 0.241
Pt1 0.000 0.000 0.499
Rh1 0.500 0.500 0.757